Arrangement 1

Crystalline Mo3PdF at its relaxed geometry, computed with GGA+U.

a = 5.284 Å, b = 5.284 Å, c = 5.284 Å
α = 90.00°, β = 90.00°, γ = 90.00°
Fractional coordinates of all 5 atoms:
Mo: 0.000 0.000 0.500
Mo: 0.000 0.500 0.000
Mo: 0.500 0.000 0.000
Pd: 0.000 0.000 0.000
F: 0.500 0.500 0.500

Values from the calculation:
* DOS at the Fermi energy: 0.7035 states/eV per atom

Arrangement 2

Crystalline Mo3PdF at its relaxed geometry, computed with GGA+U.

a = 4.229 Å, b = 4.229 Å, c = 4.229 Å
α = 90.00°, β = 90.00°, γ = 90.00°
Fractional coordinates of all 5 atoms:
Mo: 0.000 0.000 0.500
Mo: 0.000 0.500 0.000
Mo: 0.500 0.000 0.000
Pd: 0.500 0.500 0.500
F: 0.000 0.000 0.000

Values from the calculation:
* DOS at the Fermi energy: 0.7875 states/eV per atom

Of them, arrangement 1 has the lowest stability.

Arrangement 1

Crystalline MoPdWF at its relaxed geometry, computed with GGA+U.

a = 2.757 Å, b = 3.077 Å, c = 8.061 Å
α = 90.00°, β = 96.54°, γ = 90.00°
Fractional coordinates of all 4 atoms:
Mo: 0.000 0.000 0.000
Pd: 0.339 0.000 0.472
W: 0.766 0.500 0.236
F: 0.460 0.000 0.793

Values from the calculation:
* DOS at the Fermi energy: 0.5589 states/eV per atom

Arrangement 2

Crystalline MoPdWF at its relaxed geometry, computed with GGA+U.

a = 8.756 Å, b = 4.968 Å, c = 3.278 Å
α = 90.00°, β = 108.81°, γ = 90.00°
Fractional coordinates of all 8 atoms:
Mo: 0.000 0.000 0.000
Mo: 0.500 0.500 0.000
Pd: 0.296 0.000 0.777
Pd: 0.796 0.500 0.777
W: 0.082 0.500 0.552
W: 0.582 0.000 0.552
F: 0.261 0.500 0.200
F: 0.761 0.000 0.200

Values from the calculation:
* DOS at the Fermi energy: 0.3388 states/eV per atom

Of them, arrangement 2 has the lowest stability.

Arrangement 1

Crystalline Mo3PtF at its relaxed geometry, computed with GGA+U.

a = 5.278 Å, b = 5.278 Å, c = 5.278 Å
α = 90.00°, β = 90.00°, γ = 90.00°
Fractional coordinates of all 5 atoms:
Mo: 0.000 0.000 0.500
Mo: 0.000 0.500 0.000
Mo: 0.500 0.000 0.000
Pt: 0.000 0.000 0.000
F: 0.500 0.500 0.500

Values from the calculation:
* DOS at the Fermi energy: 0.6701 states/eV per atom

Arrangement 2

Crystalline Mo3PtF at its relaxed geometry, computed with GGA+U.

a = 4.222 Å, b = 4.222 Å, c = 4.222 Å
α = 90.00°, β = 90.00°, γ = 90.00°
Fractional coordinates of all 5 atoms:
Mo: 0.000 0.000 0.500
Mo: 0.000 0.500 0.000
Mo: 0.500 0.000 0.000
Pt: 0.500 0.500 0.500
F: 0.000 0.000 0.000

Values from the calculation:
* DOS at the Fermi energy: 0.8166 states/eV per atom

Of them, arrangement 1 has the lowest stability.

Arrangement 1

Crystalline Rb2MoF2 at its relaxed geometry, computed with GGA+U.

a = 5.199 Å, b = 5.199 Å, c = 12.883 Å
α = 90.00°, β = 90.00°, γ = 90.00°
Fractional coordinates of all 10 atoms:
Rb: 0.000 0.000 0.186
Rb: 0.000 0.000 0.814
Rb: 0.500 0.500 0.314
Rb: 0.500 0.500 0.686
Mo: 0.000 0.000 0.500
Mo: 0.500 0.500 0.000
F: 0.000 0.500 0.250
F: 0.000 0.500 0.750
F: 0.500 0.000 0.250
F: 0.500 0.000 0.750

Values from the calculation:
* DOS at the Fermi energy: 0.0053 states/eV per atom

Arrangement 2

Crystalline Rb2MoF2 at its relaxed geometry, computed with GGA+U.

a = 8.689 Å, b = 8.689 Å, c = 3.420 Å
α = 90.00°, β = 90.00°, γ = 90.00°
Fractional coordinates of all 10 atoms:
Rb: 0.135 0.365 0.000
Rb: 0.365 0.865 0.000
Rb: 0.635 0.135 0.000
Rb: 0.865 0.635 0.000
Mo: 0.000 0.000 0.000
Mo: 0.500 0.500 0.000
F: 0.137 0.637 0.500
F: 0.363 0.137 0.500
F: 0.637 0.863 0.500
F: 0.863 0.363 0.500

Values from the calculation:
* DOS at the Fermi energy: 0.1650 states/eV per atom

Of them, arrangement 2 has the lowest stability.